Record 1
## La12PmY7 (PBE)

Data for La12PmY7 after structural relaxation.

Energy relative to the lowest polymorph listed for this composition ... 0 meV/atom
Total magnetic moment ... 0.00 μB/f.u.
Calculated density ... 5.7 g/cm³
Energy of formation from the pure elements ... 179 meV/atom

a = 8.9043 Å, b = 8.9043 Å, c = 8.9043 Å
α = 89.63°, β = 89.63°, γ = 89.63°
Closest atoms and distances in Å follow each position.
Positions (direct):
La 0.8566 0.5166 0.3870  4 La 3.21-3.41, 1 Y 3.33
Y 0.5000 0.5000 0.5000  6 La 3.33
La 0.2822 0.1457 0.7326  3 La 3.21-3.41
La 0.2674 0.7178 0.8543  3 La 3.21-3.41
La 0.7178 0.8543 0.2674  3 La 3.21-3.41
La 0.5166 0.3870 0.8566  4 La 3.21-3.41, 1 Y 3.33
La 0.8543 0.2674 0.7178  3 La 3.21-3.41
La 0.4834 0.6130 0.1434  4 La 3.21-3.41, 1 Y 3.33
La 0.1434 0.4834 0.6130  4 La 3.21-3.41, 1 Y 3.33
Y 0.3781 0.0614 0.1434  3 Y 3.52-3.57, 1 Pm 3.65, 6 La 3.70-3.83
Y 0.1434 0.3781 0.0614  3 Y 3.52-3.57, 1 Pm 3.65, 6 La 3.70-3.83
La 0.7326 0.2822 0.1457  3 La 3.21-3.41
La 0.3870 0.8566 0.5166  4 La 3.21-3.41, 1 Y 3.33
La 0.1457 0.7326 0.2822  3 La 3.21-3.41
Y 0.6219 0.9386 0.8566  3 Y 3.52-3.57, 1 Pm 3.65, 6 La 3.70-3.83
Y 0.9386 0.8566 0.6219  3 Y 3.52-3.57, 1 Pm 3.65, 6 La 3.70-3.83
La 0.6130 0.1434 0.4834  4 La 3.21-3.41, 1 Y 3.33
Y 0.8566 0.6219 0.9386  3 Y 3.52-3.57, 1 Pm 3.65, 6 La 3.70-3.83
Pm 0.0000 0.0000 0.0000  6 Y 3.65, 6 La 3.69
Y 0.0614 0.1434 0.3781  3 Y 3.52-3.57, 1 Pm 3.65, 6 La 3.70-3.83

Record 2
## Sr4Li2Cl (PBE)

Data for Sr4Li2Cl after structural relaxation.

Total magnetic moment ... 0.00 μB/f.u.
Calculated density ... 2.2 g/cm³
Uncorrected formation energy ... -334.7 meV per atom

a = 5.7603 Å, b = 5.7603 Å, c = 9.9635 Å
α = 106.80°, β = 106.80°, γ = 90.00°
Closest atoms and distances in Å follow each position.
Positions (direct):
Li 0.6198 0.6198 0.2396  5 Sr 3.44-3.61
Cl 0.0000 0.0000 0.0000  4 Sr 2.88
Sr 0.1908 0.1908 0.3816  1 Li 3.44, 1 Cl 3.47
Sr 0.8092 0.8092 0.6184  1 Li 3.44, 1 Cl 3.47
Li 0.3802 0.3802 0.7604  5 Sr 3.44-3.61
Sr 0.0000 0.5000 0.0000  2 Cl 2.88
Sr 0.5000 0.0000 0.0000  2 Cl 2.88

Record 3
## Ce2Th2FeSi4 (PBE)

Data for Ce2Th2FeSi4 after structural relaxation.

Total magnetic moment ... 0.67 μB/f.u.
Calculated density ... 7.8 g/cm³
Uncorrected formation energy ... -386.8 meV per atom

a = 6.3241 Å, b = 6.3241 Å, c = 6.3241 Å
α = 103.66°, β = 112.46°, γ = 112.46°
Closest atoms and distances in Å follow each position.
Positions (direct):
Th 0.5000 0.2500 0.7500  8 Si 3.17, 4 Ce 3.54
Si 0.4704 0.2352 0.2352  1 Fe 2.34
Fe 0.0000 0.0000 0.0000  4 Si 2.34, 2 Ce 2.39
Si 0.5296 0.7648 0.7648  1 Fe 2.34
Ce 0.0000 0.3062 0.3062  1 Fe 2.39
Ce 0.0000 0.6938 0.6938  1 Fe 2.39
Th 0.5000 0.7500 0.2500  8 Si 3.17, 4 Ce 3.54
Si 0.0000 0.2352 0.7648  1 Fe 2.34
Si 0.0000 0.7648 0.2352  1 Fe 2.34

Record 4
## InGeS2 (PBE)

Data for InGeS2 after structural relaxation.

Total magnetic moment ... 0.00 μB/f.u.
Calculated density ... 4.2 g/cm³
Uncorrected formation energy ... -138.6 meV per atom

a = 8.3597 Å, b = 8.3597 Å, c = 8.3597 Å
α = 25.95°, β = 25.95°, γ = 25.95°
Closest atoms and distances in Å follow each position.
Positions (direct):
In 0.5000 0.5000 0.5000  6 S 2.63
Ge 0.0000 0.0000 0.0000  2 S 2.55
S 0.8945 0.8945 0.8945  1 Ge 2.55, 3 In 2.63
S 0.1055 0.1055 0.1055  1 Ge 2.55, 3 In 2.63

Record 5
## YMnSi3Ir (PBE)

Data for YMnSi3Ir after structural relaxation.

Total magnetic moment ... 0.00 μB/f.u.
Calculated density ... 6.4 g/cm³
Uncorrected formation energy ... -384.4 meV per atom

a = 5.3800 Å, b = 7.4564 Å, c = 6.6107 Å
α = 124.33°, β = 90.00°, γ = 90.00°
Closest atoms and distances in Å follow each position.
Positions (direct):
Mn 0.2500 0.0466 0.0932  5 Si 2.10-2.30
Si 0.5000 0.7601 0.0000  2 Mn 2.30, 2 Ir 2.44
Mn 0.7500 0.9534 0.9068  5 Si 2.10-2.30
Ir 0.7500 0.5583 0.1167  5 Si 2.21-2.44
Si 0.7500 0.7611 0.5222  1 Mn 2.10, 1 Ir 2.21
Si 0.2500 0.2389 0.4778  1 Mn 2.10, 1 Ir 2.21
Si 0.5000 0.2399 0.0000  2 Mn 2.30, 2 Ir 2.44
Ir 0.2500 0.4417 0.8833  5 Si 2.21-2.44
Si 0.0000 0.7601 0.0000  2 Mn 2.30, 2 Ir 2.44
Y 0.2500 0.7612 0.5225  2 Si 2.69
Si 0.0000 0.2399 0.0000  2 Mn 2.30, 2 Ir 2.44
Y 0.7500 0.2388 0.4775  2 Si 2.69

Record 6
## ZnRe2AsH (PBE)

Data for ZnRe2AsH after structural relaxation.

Total magnetic moment ... 0.00 μB/f.u.
Calculated density ... 12.8 g/cm³
Total DFT energy (no corrections) ... -6.107 eV per atom

a = 3.8523 Å, b = 4.4780 Å, c = 3.8523 Å
α = 90.00°, β = 90.00°, γ = 90.00°
Closest atoms and distances in Å follow each position.
Positions (direct):
Zn 0.5000 0.5000 0.5000  4 As 2.72, 8 Re 2.95
As 0.0000 0.5000 0.0000  2 H 2.24
H 0.0000 0.0000 0.0000  4 Re 1.93
Re 0.5000 0.0000 0.0000  2 H 1.93
Re 0.0000 0.0000 0.5000  2 H 1.93

Record 7
## Cs2HgPPt (PBE)

Data for Cs2HgPPt after structural relaxation.

Energy relative to the lowest polymorph listed for this composition ... 4 meV/atom
Total magnetic moment ... 0.00 μB/f.u.
Calculated density ... 5.3 g/cm³
Energy of formation from the pure elements ... -343 meV/atom

a = 7.0147 Å, b = 7.0147 Å, c = 4.3927 Å
α = 90.00°, β = 90.00°, γ = 90.00°
Closest atoms and distances in Å follow each position.
Positions (direct):
Cs 0.5000 0.0000 0.0000  2 P 3.51
Cs 0.0000 0.5000 0.0000  2 P 3.51
P 0.0000 0.0000 0.0000  2 Pt 2.20
Pt 0.0000 0.0000 0.5000  2 P 2.20
Hg 0.5000 0.5000 0.5000  8 Cs 4.14, 2 Hg 4.39

Record 8
## Ca2EuY (PBE)

Data for Ca2EuY after structural relaxation.

Energy relative to the lowest polymorph listed for this composition ... 36 meV/atom
Total magnetic moment ... 8.30 μB/f.u.
Calculated density ... 3.4 g/cm³
Energy of formation from the pure elements ... 132 meV/atom

a = 5.5480 Å, b = 5.2978 Å, c = 5.2978 Å
α = 90.00°, β = 90.00°, γ = 90.00°
Closest atoms and distances in Å follow each position.
Positions (direct):
Y 0.5000 0.0000 0.0000  4 Eu 3.75, 8 Ca 3.84
Ca 0.0000 0.5000 0.0000  4 Ca 3.75, 4 Eu 3.84, 4 Y 3.84
Eu 0.5000 0.5000 0.5000  4 Y 3.75, 8 Ca 3.84
Ca 0.0000 0.0000 0.5000  4 Ca 3.75, 4 Y 3.84, 4 Eu 3.84

Copy entry 1 word for word.
## La12PmY7 (PBE)

Data for La12PmY7 after structural relaxation.

Energy relative to the lowest polymorph listed for this composition ... 0 meV/atom
Total magnetic moment ... 0.00 μB/f.u.
Calculated density ... 5.7 g/cm³
Energy of formation from the pure elements ... 179 meV/atom

a = 8.9043 Å, b = 8.9043 Å, c = 8.9043 Å
α = 89.63°, β = 89.63°, γ = 89.63°
Closest atoms and distances in Å follow each position.
Positions (direct):
La 0.8566 0.5166 0.3870  4 La 3.21-3.41, 1 Y 3.33
Y 0.5000 0.5000 0.5000  6 La 3.33
La 0.2822 0.1457 0.7326  3 La 3.21-3.41
La 0.2674 0.7178 0.8543  3 La 3.21-3.41
La 0.7178 0.8543 0.2674  3 La 3.21-3.41
La 0.5166 0.3870 0.8566  4 La 3.21-3.41, 1 Y 3.33
La 0.8543 0.2674 0.7178  3 La 3.21-3.41
La 0.4834 0.6130 0.1434  4 La 3.21-3.41, 1 Y 3.33
La 0.1434 0.4834 0.6130  4 La 3.21-3.41, 1 Y 3.33
Y 0.3781 0.0614 0.1434  3 Y 3.52-3.57, 1 Pm 3.65, 6 La 3.70-3.83
Y 0.1434 0.3781 0.0614  3 Y 3.52-3.57, 1 Pm 3.65, 6 La 3.70-3.83
La 0.7326 0.2822 0.1457  3 La 3.21-3.41
La 0.3870 0.8566 0.5166  4 La 3.21-3.41, 1 Y 3.33
La 0.1457 0.7326 0.2822  3 La 3.21-3.41
Y 0.6219 0.9386 0.8566  3 Y 3.52-3.57, 1 Pm 3.65, 6 La 3.70-3.83
Y 0.9386 0.8566 0.6219  3 Y 3.52-3.57, 1 Pm 3.65, 6 La 3.70-3.83
La 0.6130 0.1434 0.4834  4 La 3.21-3.41, 1 Y 3.33
Y 0.8566 0.6219 0.9386  3 Y 3.52-3.57, 1 Pm 3.65, 6 La 3.70-3.83
Pm 0.0000 0.0000 0.0000  6 Y 3.65, 6 La 3.69
Y 0.0614 0.1434 0.3781  3 Y 3.52-3.57, 1 Pm 3.65, 6 La 3.70-3.83